Compound: CsTcBS2
Source: Alexandria via LeMat-Bulk
Functional: PBE
Structure: relaxed

Geometry as POSCAR:
```
CsTcBS2
1.0
4.5719 0.0000 0.0000
0.0000 6.8956 0.0000
0.0000 0.0000 4.5719
Cs S B Tc
1 2 1 1
Direct
0.0000 0.5000 0.0000
0.0000 0.0000 0.5000
0.5000 0.0000 0.0000
0.5000 0.5000 0.5000
0.0000 0.0000 0.0000
```

formation energy (no corrections) = 1.03 eV per atom
calculated total energy = -0.3087 Ry/atom
D(E_F) = 5.4 states/eV per cell

---

Compound: CsThBS4
Source: Alexandria via LeMat-Bulk
Functional: PBE
Structure: relaxed

Geometry as POSCAR:
```
CsThBS4
1.0
6.1299 0.0000 -0.3171
0.0000 6.5072 0.0000
-2.8408 0.0000 9.2254
Cs Th B S
2 2 2 8
Direct
0.7144 0.7500 0.9342
0.2856 0.2500 0.0658
0.7631 0.7500 0.4528
0.2369 0.2500 0.5472
0.1931 0.7500 0.3336
0.8069 0.2500 0.6664
0.0075 0.4912 0.7017
0.9925 0.9912 0.2983
0.9925 0.5088 0.2983
0.0075 0.0088 0.7017
0.3725 0.7500 0.2049
0.6275 0.2500 0.7951
0.3771 0.7500 0.5454
0.6229 0.2500 0.4546
```

formation energy (no corrections) = -1.36 eV per atom
calculated total energy = -0.4304 Ry/atom
D(E_F) = 0.0 states/eV per cell

---

Compound: Cs2TiB2S6
Source: Alexandria via LeMat-Bulk
Functional: PBE
Structure: relaxed

Geometry as POSCAR:
```
Cs2TiB2S6
1.0
-1.3986 -5.0939 -3.7782
-2.2670 0.2175 6.1279
-4.5535 4.9013 -4.9226
Cs Ti B S
2 1 2 6
Direct
0.7060 0.4120 0.1463
0.2940 0.5880 0.8537
0.5000 0.0000 0.5000
0.9041 0.8082 0.6709
0.0959 0.1918 0.3291
0.7379 0.4758 0.6451
0.2393 0.0024 0.2857
0.2369 0.9976 0.7143
0.7607 0.9976 0.7143
0.7631 0.0024 0.2857
0.2621 0.5242 0.3549
```

formation energy (no corrections) = -0.82 eV per atom
calculated total energy = -0.3789 Ry/atom
D(E_F) = 1.1 states/eV per cell

---

Compound: Cs2TiBS4
Source: Alexandria via LeMat-Bulk
Functional: PBE
Structure: relaxed

Geometry as POSCAR:
```
Cs2TiBS4
1.0
-2.9720 -2.2810 4.3106
2.1781 -7.0525 1.5532
6.9548 3.2610 10.3042
Cs Ti B S
4 2 2 8
Direct
0.1754 0.0000 0.6493
0.8246 0.0000 0.3507
0.5746 0.5000 0.8507
0.9254 0.5000 0.1493
0.7500 0.5000 0.5000
0.0000 0.0000 0.0000
0.2500 0.5000 0.5000
0.5000 0.0000 0.0000
0.3326 0.8395 0.0895
0.2615 0.1605 0.9105
0.8279 0.8395 0.9105
0.5780 0.1605 0.0895
0.4174 0.6605 0.4105
0.4885 0.3395 0.5895
0.9221 0.6605 0.5895
0.1720 0.3395 0.4105
```

formation energy (no corrections) = -1.04 eV per atom
calculated total energy = -0.3775 Ry/atom
D(E_F) = 3.3 states/eV per cell

---

Compound: Cs2TlBS4
Source: Alexandria via LeMat-Bulk
Functional: PBE
Structure: relaxed

Geometry as POSCAR:
```
Cs2TlBS4
1.0
-1.3127 -4.4147 4.1093
4.4007 0.1349 6.1864
-8.7788 5.4311 7.6660
Cs Tl B S
4 2 2 8
Direct
0.1784 0.0000 0.6433
0.8216 0.0000 0.3567
0.5716 0.5000 0.8567
0.9284 0.5000 0.1433
0.7500 0.5000 0.5000
0.0000 0.0000 0.0000
0.2500 0.5000 0.5000
0.5000 0.0000 0.0000
0.3524 0.8359 0.0919
0.2802 0.1641 0.9081
0.8117 0.8359 0.9081
0.5556 0.1641 0.0919
0.3976 0.6641 0.4081
0.4698 0.3359 0.5919
0.9383 0.6641 0.5919
0.1944 0.3359 0.4081
```

formation energy (no corrections) = -0.66 eV per atom
calculated total energy = -0.2990 Ry/atom
D(E_F) = 0.0 states/eV per cell

---

Compound: Cs3TlB2S6
Source: Alexandria via LeMat-Bulk
Functional: PBE
Structure: relaxed

Geometry as POSCAR:
```
Cs3TlB2S6
1.0
-2.1033 -6.4881 1.9259
5.1019 0.7749 -4.8579
6.6112 -0.0863 6.9295
Cs Tl B S
3 1 2 6
Direct
0.3333 0.6667 0.6563
0.6667 0.3333 0.3437
0.0000 0.0000 0.0000
0.0000 0.0000 0.5000
0.6667 0.3333 0.7031
0.3333 0.6667 0.2969
0.6299 0.8150 0.2891
0.1850 0.3701 0.2891
0.1850 0.8150 0.2891
0.8150 0.6299 0.7109
0.3701 0.1850 0.7109
0.8150 0.1850 0.7109
```

formation energy (no corrections) = -0.68 eV per atom
calculated total energy = -0.3137 Ry/atom
D(E_F) = 9.2 states/eV per cell

---

Compound: CsTm2B2S6
Source: Alexandria via LeMat-Bulk
Functional: PBE
Structure: relaxed

Geometry as POSCAR:
```
CsTm2B2S6
1.0
-3.1793 1.9099 6.0033
-6.7038 -2.5990 1.4234
5.4777 -2.9068 3.8276
Cs Tm B S
1 2 2 6
Direct
0.5000 0.0000 0.5000
0.8291 0.3417 0.8254
0.1709 0.6583 0.1746
0.1471 0.7060 0.7670
0.8529 0.2940 0.2330
0.3957 0.6466 0.8658
0.0416 0.3540 0.1345
0.0716 0.8570 0.6102
0.9584 0.6460 0.8655
0.9284 0.1430 0.3898
0.6043 0.3534 0.1342
```

formation energy (no corrections) = -1.09 eV per atom
calculated total energy = -0.4002 Ry/atom
D(E_F) = 3.1 states/eV per cell

---

Compound: Cs2TmB2S6
Source: Alexandria via LeMat-Bulk
Functional: PBE
Structure: relaxed

Geometry as POSCAR:
```
Cs2TmB2S6
1.0
6.7381 0.0000 0.0000
-3.3690 5.8328 -0.2252
0.0000 -3.5748 8.1006
Cs Tm B S
2 1 2 6
Direct
0.7092 0.4185 0.1280
0.2908 0.5815 0.8720
0.5000 0.0000 0.5000
0.9005 0.8010 0.7008
0.0995 0.1990 0.2992
0.7504 0.5009 0.7163
0.2492 0.0328 0.2827
0.2164 0.9672 0.7173
0.7508 0.9672 0.7173
0.7836 0.0328 0.2827
0.2496 0.4991 0.2837
```

formation energy (no corrections) = -0.98 eV per atom
calculated total energy = -0.3677 Ry/atom
D(E_F) = 5.3 states/eV per cell

---

Compound: Cs2TmBS4
Source: Alexandria via LeMat-Bulk
Functional: PBE
Structure: relaxed

Geometry as POSCAR:
```
Cs2TmBS4
1.0
5.8025 0.0000 0.0000
2.9013 7.2927 0.0000
2.9013 0.0000 12.7965
Cs Tm B S
4 2 2 8
Direct
0.1767 0.0000 0.6466
0.8233 0.0000 0.3534
0.5733 0.5000 0.8534
0.9267 0.5000 0.1466
0.7500 0.5000 0.5000
0.0000 0.0000 0.0000
0.2500 0.5000 0.5000
0.5000 0.0000 0.0000
0.3544 0.8349 0.0933
0.2826 0.1651 0.9067
0.8107 0.8349 0.9067
0.5523 0.1651 0.0933
0.3956 0.6651 0.4067
0.4674 0.3349 0.5933
0.9393 0.6651 0.5933
0.1977 0.3349 0.4067
```

formation energy (no corrections) = -1.18 eV per atom
calculated total energy = -0.3563 Ry/atom
D(E_F) = 0.0 states/eV per cell

---

Compound: CsUBS4
Source: Alexandria via LeMat-Bulk
Functional: PBE
Structure: relaxed

Geometry as POSCAR:
```
CsUBS4
1.0
5.9155 0.0000 -0.4352
0.0000 6.4397 0.0000
-2.9542 0.0000 9.2597
Cs U B S
2 2 2 8
Direct
0.7047 0.7500 0.9319
0.2953 0.2500 0.0681
0.7666 0.7500 0.4537
0.2334 0.2500 0.5463
0.1875 0.7500 0.3364
0.8125 0.2500 0.6636
0.0203 0.4934 0.6992
0.9797 0.9934 0.3008
0.9797 0.5066 0.3008
0.0203 0.0066 0.6992
0.3671 0.7500 0.2078
0.6329 0.2500 0.7922
0.3884 0.7500 0.5476
0.6116 0.2500 0.4524
```

formation energy (no corrections) = -1.08 eV per atom
calculated total energy = -0.4504 Ry/atom
D(E_F) = 13.9 states/eV per cell

---

Compound: Cs2UB2S6
Source: Alexandria via LeMat-Bulk
Functional: PBE
Structure: relaxed

Geometry as POSCAR:
```
Cs2UB2S6
1.0
-4.4642 -2.8876 -4.3015
3.7862 -3.9593 4.1650
-6.4539 3.9228 4.0646
Cs U B S
2 1 2 6
Direct
0.7082 0.4163 0.1629
0.2918 0.5837 0.8371
0.5000 0.0000 0.5000
0.9143 0.8287 0.6967
0.0857 0.1713 0.3033
0.7514 0.5028 0.6569
0.2266 0.9960 0.2680
0.2305 0.0040 0.7320
0.7734 0.0040 0.7320
0.7695 0.9960 0.2680
0.2486 0.4972 0.3431
```

formation energy (no corrections) = -0.92 eV per atom
calculated total energy = -0.4092 Ry/atom
D(E_F) = 9.2 states/eV per cell

---

Compound: CsVBS2
Source: Alexandria via LeMat-Bulk
Functional: PBE
Structure: relaxed

Geometry as POSCAR:
```
CsVBS2
1.0
-3.0711 -0.4316 -3.2799
-1.9870 -3.6450 2.3402
-2.7206 2.8756 2.1690
Cs S B V
1 2 1 1
Direct
0.0000 0.5000 0.0000
0.0000 0.0000 0.5000
0.5000 0.0000 0.0000
0.0000 0.0000 0.0000
0.5000 0.5000 0.5000
```

formation energy (no corrections) = 1.36 eV per atom
calculated total energy = -0.2663 Ry/atom
D(E_F) = 7.0 states/eV per cell

---

Compound: CsBW2S
Source: Alexandria via LeMat-Bulk
Functional: PBE
Structure: relaxed

Geometry as POSCAR:
```
CsBW2S
1.0
-0.4512 -3.5917 -2.6469
6.0486 -0.4814 -0.3777
0.0135 -2.6615 3.6092
Cs S B W
1 1 1 2
Direct
0.5000 0.5000 0.5000
0.0000 0.0000 0.0000
0.0000 0.5000 0.0000
0.0000 0.0000 0.5000
0.5000 0.0000 0.0000
```

formation energy (no corrections) = 2.02 eV per atom
calculated total energy = -0.4039 Ry/atom
D(E_F) = 5.0 states/eV per cell

---

Compound: CsZrBS4
Source: Alexandria via LeMat-Bulk
Functional: PBE
Structure: relaxed

Geometry as POSCAR:
```
CsZrBS4
1.0
5.8783 0.0000 -0.3253
0.0000 6.4252 0.0000
-2.7445 0.0000 8.9740
Cs Zr B S
2 2 2 8
Direct
0.7175 0.7500 0.9381
0.2825 0.2500 0.0619
0.7761 0.7500 0.4555
0.2239 0.2500 0.5445
0.2138 0.7500 0.3493
0.7862 0.2500 0.6507
0.0038 0.4899 0.6846
0.9962 0.9899 0.3154
0.9962 0.5101 0.3154
0.0038 0.0101 0.6846
0.3981 0.7500 0.2161
0.6019 0.2500 0.7839
0.4259 0.7500 0.5569
0.5741 0.2500 0.4431
```

formation energy (no corrections) = -1.13 eV per atom
calculated total energy = -0.4250 Ry/atom

---

Compound: Cs2BSb
Source: Alexandria via LeMat-Bulk
Functional: PBE
Structure: relaxed

Geometry as POSCAR:
```
Cs2BSb
1.0
0.0000 4.4155 4.4155
4.4155 0.0000 4.4155
4.4155 4.4155 0.0000
Cs Sb B
2 1 1
Direct
0.2500 0.2500 0.2500
0.7500 0.7500 0.7500
0.5000 0.5000 0.5000
0.0000 0.0000 0.0000
```

formation energy (no corrections) = 1.01 eV per atom
calculated total energy = -0.1559 Ry/atom
D(E_F) = 2.0 states/eV per cell

---

Compound: CsBSb3
Source: Alexandria via LeMat-Bulk
Functional: PBE
Structure: relaxed

Geometry as POSCAR:
```
CsBSb3
1.0
-5.3886 3.0850 0.0517
-0.4139 -0.6196 -6.1646
-3.0575 -5.3532 0.7433
Cs Sb B
1 3 1
Direct
0.0000 0.0000 0.0000
0.0000 0.5000 0.0000
0.0000 0.0000 0.5000
0.5000 0.0000 0.0000
0.5000 0.5000 0.5000
```

formation energy (no corrections) = 2.41 eV per atom
calculated total energy = -0.1150 Ry/atom
energy above the lowest structure with this stoichiometry = 1804 meV/atom
D(E_F) = 8.2 states/eV per cell

---

Compound: CsBSb3
Source: Alexandria via LeMat-Bulk
Functional: PBE
Structure: relaxed

Geometry as POSCAR:
```
CsBSb3
1.0
-0.7789 -2.5290 4.4712
5.1300 -0.6168 0.5448
0.2656 4.4965 2.5895
Cs Sb B
1 3 1
Direct
0.5000 0.5000 0.5000
0.0000 0.5000 0.0000
0.0000 0.0000 0.5000
0.5000 0.0000 0.0000
0.0000 0.0000 0.0000
```

formation energy (no corrections) = 0.61 eV per atom
calculated total energy = -0.2476 Ry/atom
energy above the lowest structure with this stoichiometry = 0 meV/atom
D(E_F) = 2.7 states/eV per cell

---

Compound: CsBSb
Source: Alexandria via LeMat-Bulk
Functional: PBE
Structure: relaxed

Geometry as POSCAR:
```
CsBSb
1.0
3.9056 0.0000 0.0000
-1.9528 6.7984 -2.2207
0.0000 -6.7767 9.6173
Cs B Sb
2 2 2
Direct
0.2333 0.4666 0.7755
0.7667 0.5334 0.2245
0.3504 0.7007 0.5435
0.6496 0.2993 0.4565
0.0773 0.1547 0.2904
0.9227 0.8453 0.7096
```

formation energy (no corrections) = 0.38 eV per atom
calculated total energy = -0.2578 Ry/atom
D(E_F) = 2.4 states/eV per cell

---

Compound: CsB2Sb
Source: Alexandria via LeMat-Bulk
Functional: PBE
Structure: relaxed

Geometry as POSCAR:
```
CsB2Sb
1.0
6.9310 0.0000 0.0000
0.0000 6.9310 0.0000
3.4655 3.4655 4.8103
Cs Sb B
2 2 4
Direct
0.0000 0.0000 0.0000
0.7500 0.2500 0.5000
0.5000 0.5000 0.0000
0.2500 0.7500 0.5000
0.4954 0.1250 0.2500
0.2546 0.6250 0.2500
0.3750 0.5046 0.7500
0.8750 0.7454 0.7500
```

formation energy (no corrections) = 1.34 eV per atom
calculated total energy = -0.2381 Ry/atom
D(E_F) = 3.4 states/eV per cell

---

Compound: Cs3BSb
Source: Alexandria via LeMat-Bulk
Functional: PBE
Structure: relaxed

Geometry as POSCAR:
```
Cs3BSb
1.0
-3.4539 4.8086 -2.4200
0.1649 -2.7795 -5.7582
-5.3807 -3.1719 1.3770
Cs Sb B
3 1 1
Direct
0.0000 0.5000 0.0000
0.0000 0.0000 0.5000
0.5000 0.0000 0.0000
0.5000 0.5000 0.5000
0.0000 0.0000 0.0000
```

formation energy (no corrections) = 0.74 eV per atom
calculated total energy = -0.1417 Ry/atom
D(E_F) = 12.0 states/eV per cell